Entry 1:
Density functional theory data (PBE) for crystalline CoMo2S4 at its relaxed geometry.

Unit cell a=4.5404 b=4.5404 c=11.7442 alpha=90.00 beta=90.00 gamma=90.00
Last column: nearest neighbours and their distance in Å.
Space group I4/mmm (No. 139)
Asymmetric unit:
1 Co 0.0000 0.0000 0.0000  6 S 2.27-2.31
2 Mo 0.0000 0.0000 0.3858  1 S 2.23
3 S 0.0000 0.0000 0.1963  1 Mo 2.23, 1 Co 2.31
4 S 0.0000 0.5000 0.0000  2 Co 2.27

Fermi-level density of states: 4.57 states/eV/f.u.
Polymorph energy (0 for the lowest one): 936 meV per atom
E: -6.1417 eV per atom

Entry 2:
Density functional theory data (PBE) for crystalline Co2MoS at its relaxed geometry.

Unit cell a=5.1680 b=5.1680 c=9.9151 alpha=90.00 beta=90.00 gamma=90.00
Last column: nearest neighbours and their distance in Å.
Space group I-42d (No. 122)
Asymmetric unit:
1 Co 0.2181 0.2500 0.1250  2 S 2.12, 2 Mo 2.31
2 Mo 0.0000 0.0000 0.5000  4 Co 2.31
3 S 0.0000 0.0000 0.0000  4 Co 2.12

Fermi-level density of states: 1.64 states/eV/f.u.
E: -6.8206 eV per atom

Entry 3:
Density functional theory data (PBE) for crystalline Co3MoS at its relaxed geometry.

Unit cell a=4.4465 b=4.4465 c=4.4465 alpha=90.00 beta=90.00 gamma=90.00
Last column: nearest neighbours and their distance in Å.
Space group Pm-3m (No. 221)
Asymmetric unit:
1 Co 0.0000 0.0000 0.5000  2 Mo 2.22
2 Mo 0.0000 0.0000 0.0000  6 Co 2.22
3 S 0.5000 0.5000 0.5000  12 Co 3.14

Fermi-level density of states: 7.05 states/eV/f.u.
Polymorph energy (0 for the lowest one): 1151 meV per atom
E: -5.5739 eV per atom

Entry 4:
Density functional theory data (PBE) for crystalline CoMo3S at its relaxed geometry.

Unit cell a=4.3671 b=4.3671 c=4.3671 alpha=90.00 beta=90.00 gamma=90.00
Last column: nearest neighbours and their distance in Å.
Space group Pm-3m (No. 221)
Asymmetric unit:
1 Co 0.0000 0.0000 0.0000  12 Mo 3.09
2 Mo 0.0000 0.5000 0.5000  2 S 2.18
3 S 0.5000 0.5000 0.5000  6 Mo 2.18

Fermi-level density of states: 9.17 states/eV/f.u.
Polymorph energy (0 for the lowest one): 0 meV per atom
E: -7.9071 eV per atom

Entry 5:
Density functional theory data (PBE) for crystalline CoMoS2 at its relaxed geometry.

Unit cell a=5.9338 b=5.9338 c=5.9338 alpha=90.00 beta=90.00 gamma=90.00
Last column: nearest neighbours and their distance in Å.
Space group Fm-3m (No. 225)
Asymmetric unit:
1 Co 0.0000 0.0000 0.0000  8 S 2.57
2 Mo 0.0000 0.0000 0.5000  8 S 2.57
3 S 0.2500 0.2500 0.2500  4 Mo 2.57, 4 Co 2.57

Fermi-level density of states: 4.06 states/eV/f.u.
Polymorph energy (0 for the lowest one): 260 meV per atom
E: -6.5187 eV per atom

Entry 6:
Density functional theory data (PBE) for crystalline CoMo3S at its relaxed geometry.

Unit cell a=4.4722 b=4.4722 c=4.4722 alpha=90.00 beta=90.00 gamma=90.00
Last column: nearest neighbours and their distance in Å.
Space group Pm-3m (No. 221)
Asymmetric unit:
1 Co 0.0000 0.0000 0.0000  6 Mo 2.24
2 Mo 0.0000 0.0000 0.5000  2 Co 2.24
3 S 0.5000 0.5000 0.5000  12 Mo 3.16

Fermi-level density of states: 3.57 states/eV/f.u.
Polymorph energy (0 for the lowest one): 547 meV per atom
E: -7.3601 eV per atom

Entry 7:
Density functional theory data (PBE) for crystalline Co3MoS at its relaxed geometry.

Unit cell a=4.0893 b=4.0893 c=4.0893 alpha=90.00 beta=90.00 gamma=90.00
Last column: nearest neighbours and their distance in Å.
Space group Pm-3m (No. 221)
Asymmetric unit:
1 Co 0.0000 0.0000 0.5000  2 S 2.04
2 Mo 0.5000 0.5000 0.5000  12 Co 2.89
3 S 0.0000 0.0000 0.0000  6 Co 2.04

Fermi-level density of states: 5.92 states/eV/f.u.
Polymorph energy (0 for the lowest one): 0 meV per atom
E: -6.7244 eV per atom

Entry 8:
Density functional theory data (PBE) for crystalline CoMoS3 at its relaxed geometry.

Unit cell a=4.3644 b=4.3644 c=4.3644 alpha=90.00 beta=90.00 gamma=90.00
Last column: nearest neighbours and their distance in Å.
Space group Pm-3m (No. 221)
Asymmetric unit:
1 Co 0.0000 0.0000 0.0000  6 S 2.18
2 Mo 0.5000 0.5000 0.5000  12 S 3.09
3 S 0.0000 0.0000 0.5000  2 Co 2.18

Fermi-level density of states: 5.65 states/eV/f.u.
Polymorph energy (0 for the lowest one): 20 meV per atom
E: -5.4508 eV per atom